[1]
! ReCl PBE relaxed; values from VASP
&SYSTEM
  ibrav = 0, nat = 12, ntyp = 2
/
ATOMIC_SPECIES
Re 186.21 Re.upf
Cl 35.45 Cl.upf
CELL_PARAMETERS angstrom
6.555 0.000 0.000
0.000 6.555 0.000
0.000 0.000 6.555
ATOMIC_POSITIONS crystal
Re 0.000 0.250 0.500
Re 0.000 0.750 0.500
Re 0.250 0.500 0.000
Re 0.500 0.000 0.250
Re 0.500 0.000 0.750
Re 0.750 0.500 0.000
Cl 0.000 0.500 0.250
Cl 0.000 0.500 0.750
Cl 0.250 0.000 0.500
Cl 0.500 0.250 0.000
Cl 0.500 0.750 0.000
Cl 0.750 0.000 0.500
! E above lowest polymorph in eV per atom: 2.189
! Crystal system: cubic
! ΔE_f (raw) in eV/atom: 2.078
! Total moment in μB per atom: 0.2996


[2]
! La6TlCd2 PBE relaxed; values from VASP
&SYSTEM
  ibrav = 0, nat = 18, ntyp = 3
/
ATOMIC_SPECIES
La 138.91 La.upf
Tl 204.38 Tl.upf
Cd 112.41 Cd.upf
CELL_PARAMETERS angstrom
-5.224 5.347 5.445
5.224 -5.347 5.445
5.224 5.347 -5.445
ATOMIC_POSITIONS crystal
La 0.053 0.821 0.232
La 0.252 0.554 0.302
La 0.252 0.950 0.698
La 0.270 0.315 0.584
La 0.270 0.685 0.955
La 0.411 0.179 0.232
La 0.589 0.821 0.768
La 0.730 0.315 0.045
La 0.730 0.685 0.416
La 0.748 0.050 0.302
La 0.748 0.446 0.698
La 0.947 0.179 0.768
Tl 0.000 0.500 0.500
Tl 0.500 0.000 0.500
Cd 0.000 0.138 0.138
Cd 0.000 0.862 0.862
Cd 0.368 0.368 0.000
Cd 0.632 0.632 0.000
! E above lowest polymorph in eV per atom: 0.045
! Crystal system: orthorhombic
! Total moment in μB per atom: 0.0001


[3]
! MgTl2P2S6 PBE relaxed; values from VASP
&SYSTEM
  ibrav = 0, nat = 11, ntyp = 4
/
ATOMIC_SPECIES
Mg 24.30 Mg.upf
Tl 204.38 Tl.upf
P 30.97 P.upf
S 32.06 S.upf
CELL_PARAMETERS angstrom
5.942 -3.357 0.000
5.942 3.357 0.000
-3.470 0.000 6.640
ATOMIC_POSITIONS crystal
Mg 0.000 0.000 0.000
Tl 0.215 0.215 0.713
Tl 0.785 0.785 0.287
P 0.465 0.465 0.326
P 0.535 0.535 0.674
S 0.197 0.703 0.707
S 0.274 0.274 0.184
S 0.297 0.803 0.293
S 0.703 0.197 0.707
S 0.726 0.726 0.816
S 0.803 0.297 0.293
! Crystal system: monoclinic
! ΔE_f (raw) in eV/atom: -0.457
! Total moment in μB per atom: 0.0000


[4]
! Ba2SrGa3Au12 PBE relaxed; values from VASP
&SYSTEM
  ibrav = 0, nat = 18, ntyp = 4
/
ATOMIC_SPECIES
Ba 137.33 Ba.upf
Sr 87.62 Sr.upf
Ga 69.72 Ga.upf
Au 196.97 Au.upf
CELL_PARAMETERS angstrom
4.513 2.606 7.110
-4.513 2.606 7.110
0.000 -5.212 7.110
ATOMIC_POSITIONS crystal
Ba 0.104 0.104 0.104
Ba 0.896 0.896 0.896
Sr 0.500 0.500 0.500
Ga 0.000 0.500 0.500
Ga 0.500 0.000 0.500
Ga 0.500 0.500 0.000
Au 0.082 0.641 0.641
Au 0.174 0.174 0.642
Au 0.174 0.642 0.174
Au 0.358 0.826 0.826
Au 0.359 0.359 0.918
Au 0.359 0.918 0.359
Au 0.641 0.082 0.641
Au 0.641 0.641 0.082
Au 0.642 0.174 0.174
Au 0.826 0.358 0.826
Au 0.826 0.826 0.358
Au 0.918 0.359 0.359
! Crystal system: trigonal
! VASP energy in Ry per atom: -0.2357
! Total moment in μB per atom: 0.0000


[5]
! PrNd6Cd3 PBE relaxed; values from VASP
&SYSTEM
  ibrav = 0, nat = 20, ntyp = 3
/
ATOMIC_SPECIES
Pr 140.91 Pr.upf
Nd 144.24 Nd.upf
Cd 112.41 Cd.upf
CELL_PARAMETERS angstrom
6.492 -7.115 0.000
6.492 7.115 0.000
0.000 0.000 6.938
ATOMIC_POSITIONS crystal
Pr 0.198 0.802 0.500
Pr 0.802 0.198 0.000
Nd 0.061 0.488 0.160
Nd 0.189 0.244 0.491
Nd 0.199 0.801 0.983
Nd 0.244 0.189 0.991
Nd 0.423 0.577 0.290
Nd 0.488 0.061 0.660
Nd 0.512 0.939 0.160
Nd 0.577 0.423 0.790
Nd 0.756 0.811 0.491
Nd 0.801 0.199 0.483
Nd 0.811 0.756 0.991
Nd 0.939 0.512 0.660
Cd 0.003 0.997 0.240
Cd 0.265 0.508 0.771
Cd 0.492 0.735 0.771
Cd 0.508 0.265 0.271
Cd 0.735 0.492 0.271
Cd 0.997 0.003 0.740
! Crystal system: orthorhombic
! VASP energy in Ry per atom: -0.2727
! Total moment in μB per atom: 0.0000


[6]
! ScTlCd2 PBE relaxed; values from VASP
&SYSTEM
  ibrav = 0, nat = 8, ntyp = 3
/
ATOMIC_SPECIES
Sc 44.96 Sc.upf
Tl 204.38 Tl.upf
Cd 112.41 Cd.upf
CELL_PARAMETERS angstrom
4.386 0.000 0.000
0.000 4.386 0.000
0.000 0.000 9.705
ATOMIC_POSITIONS crystal
Sc 0.000 0.000 0.000
Sc 0.500 0.500 0.500
Tl 0.000 0.000 0.500
Tl 0.500 0.500 0.000
Cd 0.000 0.500 0.250
Cd 0.000 0.500 0.750
Cd 0.500 0.000 0.250
Cd 0.500 0.000 0.750
! E above lowest polymorph in eV per atom: 0.061
! Crystal system: tetragonal
! Total moment in μB per atom: 0.0000